(1)
First-principles (PBE) data for crystalline Rb2SrNiGe at its relaxed geometry, as listed in the Alexandria database.

Computed properties:
Magnetization   0.2411 μB per atom
DOS at the Fermi energy   4.97 states/eV/f.u.
Formation enthalpy at 0 K   0.984 eV/atom

Cell: 7.1808 7.1808 4.8948 Å, 90.00 90.00 90.00°
Space group P4/mmm (No. 123)
Asymmetric unit:
Rb 0.0000 0.5000 0.0000 x2
Sr 0.0000 0.0000 0.0000 x1
Ni 0.0000 0.0000 0.5000 x1
Ge 0.5000 0.5000 0.5000 x1

=====

(2)
First-principles (PBE) data for crystalline ReNiGe2 at its relaxed geometry, as listed in the Alexandria database.

Computed properties:
Energy above the lowest structure with this stoichiometry   1.37 eV/f.u.
Magnetization   0.2032 μB per atom
DOS at the Fermi energy   2.39 states/eV/f.u.
Formation enthalpy at 0 K   0.562 eV/atom

Cell: 6.6147 6.6147 5.6293 Å, 90.00 90.00 90.00°
Space group I-42d (No. 122)
Asymmetric unit:
Re 0.0000 0.0000 0.0000 x4
Ni 0.0000 0.0000 0.5000 x4
Ge 0.2246 0.7500 0.6250 x8

=====

(3)
First-principles (PBE) data for crystalline ReNiGe2 at its relaxed geometry, as listed in the Alexandria database.

Computed properties:
Energy above the lowest structure with this stoichiometry   0.22 eV/f.u.
Magnetization   0.0000 μB per atom
DOS at the Fermi energy   3.14 states/eV/f.u.
Formation enthalpy at 0 K   0.273 eV/atom

Cell: 2.9335 2.9335 25.6515 Å, 90.00 90.00 120.00°
Space group R-3m (No. 166, hexagonal axes)
Asymmetric unit:
Re 0.0000 0.0000 0.0000 x3
Ni 0.0000 0.0000 0.5000 x3
Ge 0.0000 0.0000 0.4107 x6

=====

(4)
First-principles (PBE) data for crystalline ReNi2Ge2 at its relaxed geometry, as listed in the Alexandria database.

Computed properties:
Magnetization   0.0000 μB per atom
DOS at the Fermi energy   3.47 states/eV/f.u.
Formation enthalpy at 0 K   0.015 eV/atom

Cell: 6.9086 6.9086 2.7694 Å, 90.00 90.00 90.00°
Space group P4/mbm (No. 127)
Asymmetric unit:
Re 0.0000 0.0000 0.0000 x2
Ni 0.1396 0.3604 0.5000 x4
Ge 0.1551 0.6551 0.0000 x4

=====

(5)
First-principles (PBE) data for crystalline ReNiGe2 at its relaxed geometry, as listed in the Alexandria database.

Computed properties:
Energy above the lowest structure with this stoichiometry   0.00 eV/f.u.
Magnetization   0.0000 μB per atom
DOS at the Fermi energy   4.46 states/eV/f.u.
Formation enthalpy at 0 K   0.219 eV/atom

Cell: 6.0984 6.0984 6.0984 Å, 90.00 90.00 90.00°
Space group Fm-3m (No. 225)
Asymmetric unit:
Re 0.0000 0.0000 0.0000 x4
Ni 0.0000 0.0000 0.5000 x4
Ge 0.2500 0.2500 0.2500 x8

=====

(6)
First-principles (PBE) data for crystalline ReNiGe3 at its relaxed geometry, as listed in the Alexandria database.

Computed properties:
Energy above the lowest structure with this stoichiometry   0.00 eV/f.u.
Magnetization   0.0001 μB per atom
DOS at the Fermi energy   13.60 states/eV/f.u.
Formation enthalpy at 0 K   0.796 eV/atom

Cell: 4.7992 4.7992 4.7992 Å, 90.00 90.00 90.00°
Space group Pm-3m (No. 221)
Asymmetric unit:
Re 0.0000 0.0000 0.0000 x1
Ni 0.5000 0.5000 0.5000 x1
Ge 0.0000 0.0000 0.5000 x3

=====

(7)
First-principles (PBE) data for crystalline ReNi3Ge at its relaxed geometry, as listed in the Alexandria database.

Computed properties:
Energy above the lowest structure with this stoichiometry   0.91 eV/f.u.
Magnetization   0.0000 μB per atom
DOS at the Fermi energy   4.79 states/eV/f.u.
Formation enthalpy at 0 K   1.313 eV/atom

Cell: 4.5224 4.5224 4.5224 Å, 90.00 90.00 90.00°
Space group Pm-3m (No. 221)
Asymmetric unit:
Re 0.0000 0.0000 0.0000 x1
Ni 0.0000 0.0000 0.5000 x3
Ge 0.5000 0.5000 0.5000 x1

=====

(8)
First-principles (PBE) data for crystalline ReNiGe3 at its relaxed geometry, as listed in the Alexandria database.

Computed properties:
Energy above the lowest structure with this stoichiometry   1.07 eV/f.u.
Magnetization   0.4975 μB per atom
DOS at the Fermi energy   5.21 states/eV/f.u.
Formation enthalpy at 0 K   1.010 eV/atom

Cell: 4.5123 4.5123 4.5123 Å, 90.00 90.00 90.00°
Space group Pm-3m (No. 221)
Asymmetric unit:
Re 0.0000 0.0000 0.0000 x1
Ni 0.5000 0.5000 0.5000 x1
Ge 0.0000 0.5000 0.5000 x3

=====

(9)
First-principles (PBE) data for crystalline ReNi12Ge3 at its relaxed geometry, as listed in the Alexandria database.

Computed properties:
Magnetization   0.0000 μB per atom
DOS at the Fermi energy   11.11 states/eV/f.u.
Formation enthalpy at 0 K   -0.182 eV/atom

Cell: 3.5845 3.5845 14.3923 Å, 90.00 90.00 90.00°
Space group P4/mmm (No. 123)
Asymmetric unit:
Re 0.0000 0.0000 0.0000 x1
Ni 0.0000 0.5000 0.1247 x4
Ni 0.0000 0.5000 0.3757 x4
Ni 0.5000 0.5000 0.0000 x1
Ni 0.5000 0.5000 0.2501 x2
Ni 0.5000 0.5000 0.5000 x1
Ge 0.0000 0.0000 0.2553 x2
Ge 0.0000 0.0000 0.5000 x1

=====

(10)
First-principles (PBE) data for crystalline ReNi3Ge at its relaxed geometry, as listed in the Alexandria database.

Computed properties:
Energy above the lowest structure with this stoichiometry   0.00 eV/f.u.
Magnetization   0.5432 μB per atom
DOS at the Fermi energy   4.06 states/eV/f.u.
Formation enthalpy at 0 K   1.132 eV/atom

Cell: 4.2367 4.2367 4.2367 Å, 90.00 90.00 90.00°
Space group Pm-3m (No. 221)
Asymmetric unit:
Re 0.0000 0.0000 0.0000 x1
Ni 0.0000 0.5000 0.5000 x3
Ge 0.5000 0.5000 0.5000 x1

=====

(11)
First-principles (PBE) data for crystalline ScRe2NiGe at its relaxed geometry, as listed in the Alexandria database.

Computed properties:
Magnetization   0.0000 μB per atom
DOS at the Fermi energy   6.12 states/eV/f.u.
Formation enthalpy at 0 K   1.017 eV/atom

Cell: 4.4841 4.4841 4.5733 Å, 90.00 90.00 90.00°
Space group P4/mmm (No. 123)
Asymmetric unit:
Sc 0.0000 0.0000 0.0000 x1
Re 0.0000 0.5000 0.5000 x2
Ni 0.0000 0.0000 0.5000 x1
Ge 0.5000 0.5000 0.0000 x1

=====

(12)
First-principles (PBE) data for crystalline TaRe2NiGe at its relaxed geometry, as listed in the Alexandria database.

Computed properties:
Magnetization   0.1877 μB per atom
DOS at the Fermi energy   3.56 states/eV/f.u.
Formation enthalpy at 0 K   1.104 eV/atom

Cell: 4.5719 4.5719 4.0984 Å, 90.00 90.00 90.00°
Space group P4/mmm (No. 123)
Asymmetric unit:
Ta 0.0000 0.0000 0.0000 x1
Re 0.0000 0.5000 0.5000 x2
Ni 0.5000 0.5000 0.0000 x1
Ge 0.5000 0.5000 0.5000 x1

=====

(13)
First-principles (PBE) data for crystalline Re2NiGeTe at its relaxed geometry, as listed in the Alexandria database.

Computed properties:
Formation energy without anion corrections   2546 meV per atom
Magnetization   0.1516 μB per atom
DOS at the Fermi energy   7.46 states/eV/f.u.

Cell: 4.8448 4.8448 5.1845 Å, 90.00 90.00 90.00°
Space group P4/mmm (No. 123)
Asymmetric unit:
Re 0.0000 0.5000 0.0000 x2
Ni 0.0000 0.0000 0.5000 x1
Ge 0.5000 0.5000 0.5000 x1
Te 0.5000 0.5000 0.0000 x1

=====

(14)
First-principles (PBE) data for crystalline VReNiGe at its relaxed geometry, as listed in the Alexandria database.

Computed properties:
Magnetization   0.1853 μB per atom
DOS at the Fermi energy   4.13 states/eV/f.u.
Formation enthalpy at 0 K   -0.040 eV/atom

Cell: 5.9932 5.9932 5.9932 Å, 90.00 90.00 90.00°
Space group F-43m (No. 216)
Asymmetric unit:
V 0.0000 0.0000 0.0000 x4
Re 0.2500 0.2500 0.2500 x4
Ni 0.2500 0.2500 0.7500 x4
Ge 0.0000 0.0000 0.5000 x4

=====

(15)
First-principles (PBE) data for crystalline YReNiGe2 at its relaxed geometry, as listed in the Alexandria database.

Computed properties:
Magnetization   0.0171 μB per atom
DOS at the Fermi energy   3.95 states/eV/f.u.
Formation enthalpy at 0 K   0.552 eV/atom

Cell: 4.7518 4.7518 5.4191 Å, 90.00 90.00 90.00°
Space group P4/mmm (No. 123)
Asymmetric unit:
Y 0.0000 0.0000 0.0000 x1
Re 0.0000 0.0000 0.5000 x1
Ni 0.5000 0.5000 0.0000 x1
Ge 0.0000 0.5000 0.5000 x2

=====

(16)
First-principles (PBE) data for crystalline NiGe2Rh at its relaxed geometry, as listed in the Alexandria database.

Computed properties:
Energy above the lowest structure with this stoichiometry   0.17 eV/f.u.
Magnetization   0.0000 μB per atom
DOS at the Fermi energy   2.49 states/eV/f.u.
Formation enthalpy at 0 K   -0.173 eV/atom

Cell: 4.3088 4.3088 3.0148 Å, 90.00 90.00 90.00°
Space group P4/mmm (No. 123)
Asymmetric unit:
Ni 0.0000 0.0000 0.0000 x1
Ge 0.0000 0.5000 0.5000 x2
Rh 0.5000 0.5000 0.0000 x1

=====

(17)
First-principles (PBE) data for crystalline NiGe2Rh2 at its relaxed geometry, as listed in the Alexandria database.

Computed properties:
Energy above the lowest structure with this stoichiometry   0.00 eV/f.u.
Magnetization   0.0000 μB per atom
DOS at the Fermi energy   2.71 states/eV/f.u.
Formation enthalpy at 0 K   -0.275 eV/atom

Cell: 7.0443 7.0443 2.9009 Å, 90.00 90.00 90.00°
Space group P4/mbm (No. 127)
Asymmetric unit:
Ni 0.0000 0.0000 0.0000 x2
Ge 0.1558 0.3442 0.0000 x4
Rh 0.1442 0.6442 0.5000 x4

=====

(18)
First-principles (PBE) data for crystalline Ni12Ge3Rh at its relaxed geometry, as listed in the Alexandria database.

Computed properties:
Magnetization   0.1511 μB per atom
DOS at the Fermi energy   18.61 states/eV/f.u.
Formation enthalpy at 0 K   -0.184 eV/atom

Cell: 3.5921 3.5921 14.3124 Å, 90.00 90.00 90.00°
Space group P4/mmm (No. 123)
Asymmetric unit:
Ni 0.0000 0.0000 0.0000 x1
Ni 0.0000 0.0000 0.2486 x2
Ni 0.0000 0.0000 0.5000 x1
Ni 0.0000 0.5000 0.1246 x4
Ni 0.0000 0.5000 0.3726 x4
Ge 0.5000 0.5000 0.0000 x1
Ge 0.5000 0.5000 0.2484 x2
Rh 0.5000 0.5000 0.5000 x1

=====

(19)
First-principles (PBE) data for crystalline Ni5GeRh6 at its relaxed geometry, as listed in the Alexandria database.

Computed properties:
Magnetization   0.3851 μB per atom
DOS at the Fermi energy   20.70 states/eV/f.u.
Formation enthalpy at 0 K   -0.004 eV/atom

Cell: 4.2849 12.8697 5.6523 Å, 90.00 90.00 90.00°
Space group Cmmm (No. 65)
Asymmetric unit:
Ni 0.0000 0.0000 0.0000 x2
Ni 0.0000 0.3291 0.5000 x4
Ni 0.0000 0.3325 0.0000 x4
Ge 0.0000 0.0000 0.5000 x2
Rh 0.0000 0.1646 0.2494 x8
Rh 0.0000 0.5000 0.2496 x4

=====

(20)
First-principles (PBE) data for crystalline Ni3Ge2Rh at its relaxed geometry, as listed in the Alexandria database.

Computed properties:
Energy above the lowest structure with this stoichiometry   0.00 eV/f.u.
Magnetization   0.0000 μB per atom
DOS at the Fermi energy   1.94 states/eV/f.u.
Formation enthalpy at 0 K   -0.375 eV/atom

Cell: 3.7679 7.2486 5.5986 Å, 90.00 90.00 90.00°
Space group Pmc2_1 (No. 26)
Asymmetric unit:
Ni 0.0000 0.0601 0.0000 x2
Ni 0.0000 0.3035 0.3966 x2
Ni 0.5000 0.1860 0.6967 x2
Ge 0.0000 0.3686 0.8088 x2
Ge 0.5000 0.1254 0.2807 x2
Rh 0.5000 0.4376 0.0877 x2